[1]
A relaxed CeMg14W crystal. Source: the Alexandria database, functional GGA-PBE.

Cell and atoms, written as CIF:
```
data_CeMg14W
_space_group_name_H-M_alt 'A m m 2'
_space_group_IT_number 38
_space_group_name_Hall 'A 2 -2'
_cell_length_a 10.4383
_cell_length_b 5.9846
_cell_length_c 11.4317
_cell_angle_alpha 90.00
_cell_angle_beta 90.00
_cell_angle_gamma 90.00
loop_
_atom_site_label
_atom_site_type_symbol
_atom_site_fract_x
_atom_site_fract_y
_atom_site_fract_z
Ce1 Ce 0.0000 0.0000 0.0000
Mg1 Mg 0.0000 0.2468 0.2492
Mg2 Mg 0.2284 0.0000 0.6391
Mg3 Mg 0.2468 0.2445 0.3986
Mg4 Mg 0.2648 0.0000 0.1498
Mg5 Mg 0.5000 0.0000 0.4919
Mg6 Mg 0.5000 0.0000 0.9862
Mg7 Mg 0.5000 0.2471 0.7411
W1 W 0.0000 0.0000 0.4860
```

Values from the calculation:
DFT formation energy (eV/atom): 0.14
Calculated volume (Å³ per cell): 714.1
DOS(E_F) (states/eV/cell): 25.548
Calculated total energy (eV for the cell shown): -77.9


[2]
A relaxed CeMg14W crystal. Source: the Alexandria database, functional GGA-PBE.

Cell and atoms, written as CIF:
```
data_CeMg14W
_space_group_name_H-M_alt 'P -6 m 2'
_space_group_IT_number 187
_space_group_name_Hall 'P -6 2'
_cell_length_a 6.4148
_cell_length_b 6.4148
_cell_length_c 10.1920
_cell_angle_alpha 90.00
_cell_angle_beta 90.00
_cell_angle_gamma 120.00
loop_
_atom_site_label
_atom_site_type_symbol
_atom_site_fract_x
_atom_site_fract_y
_atom_site_fract_z
Ce1 Ce 0.0000 0.0000 0.0000
Mg1 Mg 0.0159 0.5080 0.0000
Mg2 Mg 0.1623 0.3245 0.2693
Mg3 Mg 0.5037 0.0075 0.5000
Mg4 Mg 0.6667 0.3333 0.2344
W1 W 0.0000 0.0000 0.5000
```

Values from the calculation:
DFT formation energy (eV/atom): 0.21
Calculated volume (Å³ per cell): 363.2
DOS(E_F) (states/eV/cell): 15.647
Calculated total energy (eV for the cell shown): -37.9


[3]
A relaxed Ce4YMg crystal. Source: the Alexandria database, functional GGA-PBE.

Cell and atoms, written as CIF:
```
data_Ce4YMg
_space_group_name_H-M_alt 'F -4 3 m'
_space_group_IT_number 216
_space_group_name_Hall 'F -4 2 3'
_cell_length_a 8.8757
_cell_length_b 8.8757
_cell_length_c 8.8757
_cell_angle_alpha 90.00
_cell_angle_beta 90.00
_cell_angle_gamma 90.00
loop_
_atom_site_label
_atom_site_type_symbol
_atom_site_fract_x
_atom_site_fract_y
_atom_site_fract_z
Ce1 Ce 0.1149 0.1149 0.3851
Y1 Y 0.0000 0.0000 0.0000
Mg1 Mg 0.2500 0.2500 0.7500
```

Values from the calculation:
DFT formation energy (eV/atom): 0.23
Calculated volume (Å³ per cell): 699.2
DOS(E_F) (states/eV/cell): 64.122
Calculated total energy (eV for the cell shown): -121.6


[4]
A relaxed CeY5Mg6 crystal. Source: the Alexandria database, functional GGA-PBE.

Cell and atoms, written as CIF:
```
data_CeY5Mg6
_space_group_name_H-M_alt 'C m m m'
_space_group_IT_number 65
_space_group_name_Hall '-C 2 2'
_cell_length_a 5.3862
_cell_length_b 16.1429
_cell_length_c 7.5955
_cell_angle_alpha 90.00
_cell_angle_beta 90.00
_cell_angle_gamma 90.00
loop_
_atom_site_label
_atom_site_type_symbol
_atom_site_fract_x
_atom_site_fract_y
_atom_site_fract_z
Ce1 Ce 0.0000 0.0000 0.0000
Y1 Y 0.0000 0.0000 0.5000
Y2 Y 0.0000 0.3332 0.0000
Y3 Y 0.0000 0.3360 0.5000
Mg1 Mg 0.0000 0.1683 0.2520
Mg2 Mg 0.0000 0.5000 0.2506
```

Values from the calculation:
DFT formation energy (eV/atom): -0.08
Calculated volume (Å³ per cell): 660.4
DOS(E_F) (states/eV/cell): 35.107
Calculated total energy (eV for the cell shown): -97.5


[5]
A relaxed CeY2Mg crystal. Source: the Alexandria database, functional GGA-PBE.

Cell and atoms, written as CIF:
```
data_CeY2Mg
_space_group_name_H-M_alt 'R -3 m'
_space_group_IT_number 166
_space_group_name_Hall '-R 3 2"'
_cell_length_a 3.3386
_cell_length_b 3.3386
_cell_length_c 36.3236
_cell_angle_alpha 90.00
_cell_angle_beta 90.00
_cell_angle_gamma 120.00
loop_
_atom_site_label
_atom_site_type_symbol
_atom_site_fract_x
_atom_site_fract_y
_atom_site_fract_z
Ce1 Ce 0.0000 0.0000 0.0000
Y1 Y 0.0000 0.0000 0.0905
Mg1 Mg 0.0000 0.0000 0.5000
```

Values from the calculation:
DFT formation energy (eV/atom): 0.20
Calculated volume (Å³ per cell): 350.6
DOS(E_F) (states/eV/cell): 21.755
Calculated total energy (eV for the cell shown): -58.9


[6]
A relaxed Ce2YMg crystal. Source: the Alexandria database, functional GGA-PBE.

Cell and atoms, written as CIF:
```
data_Ce2YMg
_space_group_name_H-M_alt 'C 1 m 1'
_space_group_IT_number 8
_space_group_name_Hall 'C -2y'
_cell_length_a 5.7890
_cell_length_b 3.3450
_cell_length_c 11.9260
_cell_angle_alpha 90.00
_cell_angle_beta 99.19
_cell_angle_gamma 90.00
loop_
_atom_site_label
_atom_site_type_symbol
_atom_site_fract_x
_atom_site_fract_y
_atom_site_fract_z
Ce1 Ce 0.0000 0.0000 0.0000
Ce2 Ce 0.1645 0.0000 0.4923
Y1 Y 0.0823 0.5000 0.7461
Mg1 Mg 0.4158 0.0000 0.2460
```

Values from the calculation:
DFT formation energy (eV/atom): 0.12
Calculated volume (Å³ per cell): 228.0
DOS(E_F) (states/eV/cell): 20.896
Calculated total energy (eV for the cell shown): -38.9


Q: The lowest calculated total energy belongs to which entry?
A: Ce4YMg